Record 1
{
  "formula": "Er2Te2O5",
  "functional": "PBE-GGA",
  "state": "optimized geometry",
  "spacegroup": "P4/mmm, No. 123",
  "polymorph_energy_mev_per_atom": 807.3,
  "cell": [[7.4258, 0.0000, 0.0000], [0.0000, 4.1067, 0.0000], [0.0000, 0.0000, 4.1067]],
  "species": ["Er", "Er", "Te", "Te", "O", "O", "O", "O", "O"],
  "fractional_positions": [[0.5000, 0.0000, 0.0000], [0.0000, 0.0000, 0.0000], [0.2039, 0.5000, 0.5000], [0.7961, 0.5000, 0.5000], [0.5000, 0.5000, 0.5000], [0.2951, 0.5000, 0.0000], [0.2951, 0.0000, 0.5000], [0.7049, 0.5000, 0.0000], [0.7049, 0.0000, 0.5000]]
}

---

Record 2
{
  "formula": "SmSiHO4",
  "functional": "PBE-GGA",
  "state": "optimized geometry",
  "spacegroup": "P6_422, No. 181",
  "polymorph_energy_mev_per_atom": 453.0,
  "cell": [[9.4818, 0.0000, 0.0000], [-4.7409, 8.2114, 0.0000], [0.0000, 0.0000, 13.4883]],
  "species": ["O", "O", "O", "O", "O", "O", "O", "O", "O", "O", "O", "O", "O", "O", "O", "O", "O", "O", "O", "O", "O", "O", "O", "O", "O", "O", "O", "O", "O", "O", "O", "O", "O", "O", "O", "O", "O", "O", "O", "O", "O", "O", "O", "O", "O", "O", "O", "O", "Sm", "Sm", "Sm", "Sm", "Sm", "Sm", "Sm", "Sm", "Sm", "Sm", "Sm", "Sm", "H", "H", "H", "H", "H", "H", "H", "H", "H", "H", "H", "H", "Si", "Si", "Si", "Si", "Si", "Si", "Si", "Si", "Si", "Si", "Si", "Si"],
  "fractional_positions": [[0.9604, 0.8323, 0.2341], [0.7080, 0.5661, 0.6455], [0.9728, 0.3569, 0.6709], [0.4797, 0.7341, 0.4481], [0.1677, 0.1281, 0.5674], [0.1281, 0.1677, 0.7659], [0.5203, 0.2659, 0.4481], [0.7456, 0.4797, 0.1148], [0.2544, 0.5203, 0.1148], [0.8323, 0.9604, 0.0993], [0.8581, 0.2920, 0.3121], [0.1419, 0.4339, 0.3545], [0.9728, 0.6159, 0.9958], [0.7456, 0.2659, 0.5519], [0.0396, 0.1677, 0.2341], [0.0272, 0.3841, 0.9958], [0.5661, 0.8581, 0.9788], [0.0396, 0.8719, 0.4326], [0.3841, 0.3569, 0.3291], [0.2920, 0.4339, 0.6455], [0.3841, 0.0272, 0.3376], [0.2659, 0.5203, 0.8852], [0.8719, 0.8323, 0.7659], [0.6159, 0.6431, 0.3291], [0.4339, 0.1419, 0.9788], [0.1281, 0.9604, 0.9007], [0.6431, 0.0272, 0.6624], [0.8719, 0.0396, 0.9007], [0.6431, 0.6159, 0.0042], [0.1419, 0.7080, 0.3121], [0.6159, 0.9728, 0.3376], [0.3569, 0.3841, 0.0042], [0.0272, 0.6431, 0.6709], [0.5203, 0.2544, 0.2185], [0.8323, 0.8719, 0.5674], [0.2544, 0.7341, 0.5519], [0.4797, 0.7456, 0.2185], [0.1677, 0.0396, 0.0993], [0.7080, 0.1419, 0.0212], [0.8581, 0.5661, 0.3545], [0.3569, 0.9728, 0.6624], [0.2659, 0.7456, 0.7815], [0.2920, 0.8581, 0.0212], [0.4339, 0.2920, 0.6879], [0.5661, 0.7080, 0.6879], [0.7341, 0.4797, 0.8852], [0.9604, 0.1281, 0.4326], [0.7341, 0.2544, 0.7815], [0.7434, 0.4868, 0.5000], [0.7140, 0.7140, 0.1667], [0.2566, 0.7434, 0.1667], [0.0000, 0.2860, 0.8333], [0.0000, 0.7140, 0.8333], [0.5132, 0.2566, 0.8333], [0.7434, 0.2566, 0.1667], [0.4868, 0.7434, 0.8333], [0.2860, 0.2860, 0.1667], [0.7140, 0.0000, 0.5000], [0.2566, 0.5132, 0.5000], [0.2860, 0.0000, 0.5000], [0.0000, 0.0000, 0.5000], [0.0000, 0.5000, 0.3333], [0.5000, 0.0000, 0.3359], [0.5000, 0.5000, 0.0026], [0.0000, 0.5000, 0.6692], [0.0000, 0.0000, 0.8333], [0.5000, 0.0000, 0.0000], [0.0000, 0.5000, 0.9974], [0.0000, 0.0000, 0.1667], [0.5000, 0.5000, 0.6667], [0.5000, 0.0000, 0.6641], [0.5000, 0.5000, 0.3308], [0.4630, 0.2315, 0.3333], [0.7685, 0.2315, 0.6667], [0.2315, 0.7685, 0.6667], [0.2315, 0.4630, 0.0000], [0.7685, 0.5370, 0.0000], [0.7568, 0.0000, 0.0000], [0.2432, 0.0000, 0.0000], [0.5370, 0.7685, 0.3333], [0.7568, 0.7568, 0.6667], [0.0000, 0.2432, 0.3333], [0.0000, 0.7568, 0.3333], [0.2432, 0.2432, 0.6667]]
}

---

Record 3
{
  "formula": "GdCo3P2",
  "functional": "PBE-GGA",
  "state": "optimized geometry",
  "final_energy_ev_per_atom": -7.055,
  "spacegroup": "Pmmn, No. 59",
  "cell": [[10.5211, 0.0000, 0.0000], [0.0000, 3.7042, 0.0000], [0.0000, 0.0000, 12.1952]],
  "species": ["Co", "Co", "Co", "Co", "Co", "Co", "Co", "Co", "Co", "Co", "Co", "Co", "Co", "Co", "Co", "Co", "Co", "Co", "P", "P", "P", "P", "P", "P", "P", "P", "P", "P", "P", "P", "Gd", "Gd", "Gd", "Gd", "Gd", "Gd"],
  "fractional_positions": [[0.2500, 0.2500, 0.2964], [0.7500, 0.2500, 0.9860], [0.8699, 0.2500, 0.2902], [0.7500, 0.7500, 0.1589], [0.9166, 0.7500, 0.9951], [0.5834, 0.7500, 0.9951], [0.4527, 0.2500, 0.5695], [0.3699, 0.7500, 0.7098], [0.0834, 0.2500, 0.0049], [0.7500, 0.7500, 0.7036], [0.6301, 0.2500, 0.2902], [0.2500, 0.7500, 0.0140], [0.2500, 0.2500, 0.8411], [0.1301, 0.7500, 0.7098], [0.5473, 0.7500, 0.4305], [0.4166, 0.2500, 0.0049], [0.0473, 0.2500, 0.5695], [0.9527, 0.7500, 0.4305], [0.0594, 0.2500, 0.3844], [0.7500, 0.7500, 0.3430], [0.0981, 0.7500, 0.8938], [0.9406, 0.7500, 0.6156], [0.4406, 0.2500, 0.3844], [0.5594, 0.7500, 0.6156], [0.4019, 0.7500, 0.8938], [0.7500, 0.7500, 0.8834], [0.5981, 0.2500, 0.1062], [0.2500, 0.2500, 0.1166], [0.2500, 0.2500, 0.6570], [0.9019, 0.2500, 0.1062], [0.7500, 0.2500, 0.5222], [0.5666, 0.2500, 0.7943], [0.0666, 0.7500, 0.2057], [0.2500, 0.7500, 0.4778], [0.9334, 0.2500, 0.7943], [0.4334, 0.7500, 0.2057]]
}

---

Record 4
{
  "formula": "NbAgF3",
  "functional": "PBE-GGA",
  "state": "optimized geometry",
  "spacegroup": "Pm-3m, No. 221",
  "polymorph_energy_mev_per_atom": 147.0,
  "cell": [[-0.3202, 2.5540, -3.3049], [2.7238, -2.3851, -2.1071], [-3.1664, -2.3100, -1.4783]],
  "species": ["F", "F", "F", "Nb", "Ag"],
  "fractional_positions": [[0.0000, 0.5000, 0.5000], [0.5000, 0.0000, 0.5000], [0.5000, 0.5000, 0.0000], [0.5000, 0.5000, 0.5000], [0.0000, 0.0000, 0.0000]]
}

---

Record 5
{
  "formula": "Ho2ErNiGe3Ir2",
  "functional": "PBE-GGA",
  "state": "optimized geometry",
  "final_energy_ev_per_atom": -6.466,
  "spacegroup": "Amm2, No. 38",
  "cell": [[3.8328, 0.0000, 0.0000], [0.0000, 6.0993, 3.5324], [0.0000, -6.0993, 3.5324]],
  "species": ["Ir", "Ir", "Ho", "Ho", "Ge", "Ge", "Ge", "Ni", "Er"],
  "fractional_positions": [[0.5000, 0.6661, 0.3344], [0.5000, 0.3344, 0.6661], [0.0000, 0.0000, 0.4026], [0.0000, 0.4026, 0.0000], [0.5000, 0.7513, 0.0000], [0.5000, 0.0000, 0.7513], [0.5000, 0.2485, 0.2485], [0.0000, 0.9991, 0.9991], [0.0000, 0.5981, 0.5981]]
}

---

Record 6
{
  "formula": "Nd2YCu4Sn4",
  "functional": "PBE-GGA",
  "state": "optimized geometry",
  "final_energy_ev_per_atom": -4.800,
  "spacegroup": "Immm, No. 71",
  "cell": [[-2.2829, 3.4674, 7.4956], [2.2829, -3.4674, 7.4956], [2.2829, 3.4674, -7.4956]],
  "species": ["Nd", "Nd", "Cu", "Cu", "Cu", "Cu", "Sn", "Sn", "Sn", "Sn", "Y"],
  "fractional_positions": [[0.6326, 0.1326, 0.5000], [0.3674, 0.8674, 0.5000], [0.6474, 0.3318, 0.3156], [0.0162, 0.3318, 0.6844], [0.3526, 0.6682, 0.6844], [0.9838, 0.6682, 0.3156], [0.7053, 0.5000, 0.2053], [0.2947, 0.5000, 0.7947], [0.2150, 0.2150, 0.0000], [0.7850, 0.7850, 0.0000], [0.0000, 0.0000, 0.0000]]
}

---

Record 7
{
  "formula": "ZnCd",
  "functional": "PBE-GGA",
  "state": "optimized geometry",
  "spacegroup": "Pnma, No. 62",
  "formation_energy_ev_per_atom": 0.072,
  "cell": [[-2.2287, -4.5340, -0.4923], [4.7874, -2.5640, 1.9403], [-1.7211, 0.3366, 4.6911]],
  "species": ["Zn", "Zn", "Zn", "Zn", "Cd", "Cd", "Cd", "Cd"],
  "fractional_positions": [[0.9932, 0.0026, 0.0000], [0.3401, 0.5026, 0.5000], [0.8401, 0.7474, 0.5000], [0.4932, 0.2474, 0.0000], [0.8219, 0.2529, 0.5000], [0.3219, 0.9971, 0.5000], [0.0115, 0.4971, 0.0000], [0.5115, 0.7529, 0.0000]]
}

---

Record 8
{
  "formula": "ZnCO3",
  "functional": "PBE-GGA",
  "state": "optimized geometry",
  "final_energy_ev_per_atom": -6.467,
  "spacegroup": "P2_1/c, No. 14",
  "cell": [[5.6447, 0.0000, 0.0000], [0.0000, 4.6835, 0.0000], [-1.7584, 0.0000, 7.1166]],
  "species": ["C", "C", "C", "C", "O", "O", "O", "O", "O", "O", "O", "O", "O", "O", "O", "O", "Zn", "Zn", "Zn", "Zn"],
  "fractional_positions": [[0.7496, 0.7501, 0.0006], [0.7496, 0.7499, 0.5006], [0.2504, 0.2501, 0.4994], [0.2504, 0.2499, 0.9994], [0.1121, 0.3884, 0.8614], [0.3885, 0.3878, 0.1377], [0.7499, 0.0263, 0.0009], [0.8879, 0.8884, 0.6386], [0.1121, 0.1116, 0.3614], [0.2501, 0.9737, 0.9991], [0.7499, 0.4737, 0.5009], [0.2501, 0.5263, 0.4991], [0.8879, 0.6116, 0.1386], [0.6115, 0.6122, 0.8623], [0.6115, 0.8878, 0.3623], [0.3885, 0.1122, 0.6377], [0.7501, 0.2498, 0.2512], [0.2499, 0.7502, 0.7488], [0.7501, 0.2502, 0.7512], [0.2499, 0.7498, 0.2488]]
}